1.
Density functional theory data (SCAN) for a PBEsol-optimized structure of Ta2Hg.

Its symmetry is No. 63. The total energy comes out at -200.3 eV per formula unit. For the formation energy, the calculation gives 340.5 meV/atom.

Cell lengths 2.7695, 5.0139, 8.1388 Å; angles 90.00, 99.80, 90.00 degrees
Fractional positions:
1 Ta 0.4528 0.7500 0.9056
2 Ta 0.5472 0.2500 0.0944
3 Hg 0.2160 0.2500 0.4320
4 Ta 0.8846 0.2500 0.7693
5 Hg 0.7840 0.7500 0.5680
6 Ta 0.1154 0.7500 0.2307

=====

2.
Density functional theory data (SCAN) for a PBEsol-optimized structure of Ta3Rh.

Its symmetry is No. 123. The total energy comes out at -234.7 eV per formula unit. For the formation energy, the calculation gives -300.4 meV/atom.

Cell lengths 3.2752, 4.4811, 4.4811 Å; angles 90.00, 90.00, 90.00 degrees
Fractional positions:
1 Ta 0.5000 0.0000 0.5000
2 Ta 0.5000 0.5000 0.0000
3 Rh 0.0000 0.0000 0.0000
4 Ta 0.0000 0.5000 0.5000

=====

3.
Density functional theory data (SCAN) for a PBEsol-optimized structure of TiReTe2.

The value obtained for the uncorrected formation energy is 486 meV per atom. Its symmetry is No. 166. The total energy comes out at -159.7 eV per formula unit.

Cell lengths 3.2007, 3.2007, 9.2505 Å; angles 80.04, 80.04, 60.00 degrees
Fractional positions:
1 Ti 0.5000 0.5000 0.5000
2 Te 0.9062 0.9062 0.2815
3 Re 0.0000 0.0000 0.0000
4 Te 0.0938 0.0938 0.7185